# 1
# CaAc7Sn5

A geometry-optimized CaAc7Sn5 structure (PBE, the Alexandria database).

Properties
- Space-group type: Imm2 (44)
- E_form: -5.58 eV/f.u.
- DOS(E_F): 13.606 states/eV per cell

Cell lengths 6.995, 9.017, 9.017 Å; angles 79.45, 67.18, 67.18 degrees
Fractional coordinates of all 13 atoms:
Ca1 0.932 0.068 0.068
Ac1 0.624 0.376 0.376
Ac2 0.279 0.721 0.721
Ac3 0.009 0.321 0.661
Ac4 0.009 0.661 0.321
Ac5 0.271 0.229 0.229
Ac6 0.523 0.805 0.150
Ac7 0.523 0.150 0.805
Sn1 0.540 0.995 0.471
Sn2 0.993 0.995 0.471
Sn3 0.540 0.471 0.995
Sn4 0.993 0.471 0.995
Sn5 0.765 0.735 0.735

***

# 2
# AsIrW

A geometry-optimized AsIrW structure (PBE, the Alexandria database).

Properties
- Space-group type: Imm2 (44)
- Distance to the lowest polymorph of the same formula: 0.152 eV/atom
- E_form: 0.72 eV/f.u.
- DOS(E_F): 1.981 states/eV per cell

Cell lengths 4.736, 4.736, 4.736 Å; angles 144.88, 129.53, 62.97 degrees
Fractional coordinates of all 3 atoms:
As1 0.000 0.000 0.000
Ir1 0.327 0.327 0.000
W1 0.673 0.673 0.000